Record 1
Below is an optimized crystal structure of SrYCuMo2, with properties calculated at the PBE level.

Cell lengths 4.779, 4.779, 5.265 Å; angles 90.00, 90.00, 90.00 degrees
Positions (direct):
Sr  0.000  0.000  0.000
Y  0.500  0.500  0.000
Cu  0.000  0.000  0.500
Mo  0.000  0.500  0.500
Mo  0.500  0.000  0.500

Results
The density of states at the Fermi level comes out at 6.3 states/eV/f.u. The calculation puts the formation energy from the elements at 1.1792 eV/atom. Its space group is No. 123.

Record 2
Below is an optimized crystal structure of CoAs3C, with properties calculated at the PBE level.

Cell lengths 4.489, 4.489, 4.489 Å; angles 90.00, 90.00, 90.00 degrees
Positions (direct):
Co  0.000  0.000  0.000
As  0.000  0.000  0.500
As  0.000  0.500  0.000
As  0.500  0.000  0.000
C  0.500  0.500  0.500

Results
The excess energy over the best structure of this formula in the dataset comes out at 326 meV/atom. The density of states at the Fermi level comes out at 4.8 states/eV/f.u. The calculation puts the formation energy from the elements at 1.5474 eV/atom. Its space group is No. 221.

Record 3
Below is an optimized crystal structure of ScTc2W, with properties calculated at the PBE level.

Cell lengths 9.393, 9.393, 9.393 Å; angles 17.52, 17.52, 17.52 degrees
Positions (direct):
Sc  0.000  0.000  0.000
Tc  0.247  0.247  0.247
Tc  0.505  0.505  0.505
W  0.756  0.756  0.756

Results
The excess energy over the best structure of this formula in the dataset comes out at 445 meV/atom. The density of states at the Fermi level comes out at 2.8 states/eV/f.u. The calculation puts the formation energy from the elements at 0.2204 eV/atom. Its space group is No. 160.

Record 4
Below is an optimized crystal structure of LaHgIr2, with properties calculated at the PBE level.

Cell lengths 6.161, 6.161, 6.161 Å; angles 103.75, 103.75, 121.64 degrees
Positions (direct):
La  0.000  0.000  0.000
La  0.750  0.250  0.500
Hg  0.250  0.750  0.500
Hg  0.500  0.500  0.000
Ir  0.143  0.625  0.018
Ir  0.375  0.393  0.518
Ir  0.607  0.125  0.982
Ir  0.875  0.857  0.482

Results
The density of states at the Fermi level comes out at 4.1 states/eV/f.u. The calculation puts the formation energy from the elements at 0.2604 eV/atom. Its space group is No. 122.

Record 5
Below is an optimized crystal structure of Re2HgMo, with properties calculated at the PBE level.

Cell lengths 4.942, 4.942, 4.942 Å; angles 132.25, 132.25, 69.83 degrees
Positions (direct):
Re  0.250  0.750  0.500
Re  0.750  0.250  0.500
Hg  0.000  0.000  0.000
Mo  0.500  0.500  0.000

Results
The density of states at the Fermi level comes out at 3.5 states/eV/f.u. The calculation puts the formation energy from the elements at 0.6367 eV/atom. Its space group is No. 139.

Record 6
Below is an optimized crystal structure of La2BeSbPt6, with properties calculated at the PBE level.

Cell lengths 6.668, 6.668, 6.668 Å; angles 60.00, 60.00, 60.00 degrees
Positions (direct):
La  0.250  0.250  0.250
La  0.750  0.750  0.750
Be  0.000  0.000  0.000
Sb  0.500  0.500  0.500
Pt  0.228  0.228  0.772
Pt  0.228  0.772  0.228
Pt  0.228  0.772  0.772
Pt  0.772  0.228  0.228
Pt  0.772  0.228  0.772
Pt  0.772  0.772  0.228

Results
The formation energy from raw total energies comes out at -0.62 eV/atom. The density of states at the Fermi level comes out at 6.9 states/eV/f.u. Its space group is No. 225.

Record 7
Below is an optimized crystal structure of Nd3Dy12Cd, with properties calculated at the PBE level.

Cell lengths 4.995, 4.995, 20.154 Å; angles 90.00, 90.00, 90.00 degrees
Positions (direct):
Nd  0.000  0.000  0.000
Nd  0.000  0.000  0.253
Nd  0.000  0.000  0.747
Dy  0.000  0.500  0.127
Dy  0.000  0.500  0.380
Dy  0.000  0.500  0.620
Dy  0.000  0.500  0.873
Dy  0.500  0.000  0.127
Dy  0.500  0.000  0.380
Dy  0.500  0.000  0.620
Dy  0.500  0.000  0.873
Dy  0.500  0.500  0.000
Dy  0.500  0.500  0.257
Dy  0.500  0.500  0.500
Dy  0.500  0.500  0.743
Cd  0.000  0.000  0.500

Results
The density of states at the Fermi level comes out at 20.4 states/eV/f.u. The calculation puts the formation energy from the elements at -0.0013 eV/atom. Its space group is No. 123.

Record 8
Below is an optimized crystal structure of BiAsC3, with properties calculated at the PBE level.

Cell lengths 4.484, 4.484, 4.484 Å; angles 90.00, 90.00, 90.00 degrees
Positions (direct):
Bi  0.000  0.000  0.000
As  0.500  0.500  0.500
C  0.000  0.000  0.500
C  0.000  0.500  0.000
C  0.500  0.000  0.000

Results
The excess energy over the best structure of this formula in the dataset comes out at 993 meV/atom. The density of states at the Fermi level comes out at 3.7 states/eV/f.u. The calculation puts the formation energy from the elements at 3.3653 eV/atom. Its space group is No. 221.

Record 9
Below is an optimized crystal structure of GaFeBr2, with properties calculated at the PBE level.

Cell lengths 4.955, 4.955, 4.955 Å; angles 60.00, 60.00, 60.00 degrees
Positions (direct):
Ga  0.000  0.000  0.000
Fe  0.500  0.500  0.500
Br  0.250  0.250  0.250
Br  0.750  0.750  0.750

Results
The excess energy over the best structure of this formula in the dataset comes out at 247 meV/atom. The formation energy from raw total energies comes out at 0.19 eV/atom. The density of states at the Fermi level comes out at 1.4 states/eV/f.u. Its space group is No. 225.

Record 10
Below is an optimized crystal structure of Y2VI, with properties calculated at the PBE level.

Cell lengths 6.723, 6.723, 6.723 Å; angles 104.58, 104.58, 119.77 degrees
Positions (direct):
Y  0.118  0.625  0.993
Y  0.375  0.368  0.493
Y  0.632  0.125  0.007
Y  0.875  0.882  0.507
V  0.000  0.000  0.000
V  0.750  0.250  0.500
I  0.250  0.750  0.500
I  0.500  0.500  0.000

Results
The excess energy over the best structure of this formula in the dataset comes out at 114 meV/atom. The formation energy from raw total energies comes out at 0.37 eV/atom. The density of states at the Fermi level comes out at 4.1 states/eV/f.u. Its space group is No. 122.

Record 11
Below is an optimized crystal structure of Sc3Ir2Pt2, with properties calculated at the PBE level.

Cell lengths 4.368, 4.647, 7.326 Å; angles 78.66, 72.74, 62.04 degrees
Positions (direct):
Sc  0.000  0.000  0.000
Sc  0.460  0.350  0.729
Sc  0.540  0.650  0.271
Ir  0.273  0.326  0.129
Ir  0.727  0.674  0.871
Pt  0.209  0.968  0.614
Pt  0.791  0.032  0.386

Results
The density of states at the Fermi level comes out at 3.1 states/eV/f.u. The calculation puts the formation energy from the elements at -0.9291 eV/atom. Its space group is No. 2.

Record 12
Below is an optimized crystal structure of LiCeTlGa, with properties calculated at the PBE level.

Cell lengths 5.096, 5.096, 5.096 Å; angles 60.00, 60.00, 60.00 degrees
Positions (direct):
Li  0.000  0.000  0.000
Ce  0.500  0.500  0.500
Tl  0.750  0.750  0.750
Ga  0.250  0.250  0.250

Results
The density of states at the Fermi level comes out at 5.7 states/eV/f.u. The calculation puts the formation energy from the elements at -0.3053 eV/atom. Its space group is No. 216.

Record 13
Below is an optimized crystal structure of NbGe2BiO, with properties calculated at the PBE level.

Cell lengths 5.278, 5.278, 3.917 Å; angles 90.00, 90.00, 90.00 degrees
Positions (direct):
Nb  0.000  0.000  0.000
Ge  0.000  0.500  0.000
Ge  0.500  0.000  0.000
Bi  0.500  0.500  0.500
O  0.000  0.000  0.500

Results
The formation energy from raw total energies comes out at -0.30 eV/atom. The density of states at the Fermi level comes out at 3.7 states/eV/f.u. Its space group is No. 123.

Record 14
Below is an optimized crystal structure of Pr3Sn2Rh7, with properties calculated at the PBE level.

Cell lengths 9.066, 9.066, 9.066 Å; angles 36.41, 36.41, 36.41 degrees
Positions (direct):
Pr  0.000  0.000  0.000
Pr  0.140  0.140  0.140
Pr  0.860  0.860  0.860
Sn  0.334  0.334  0.334
Sn  0.666  0.666  0.666
Rh  0.083  0.584  0.584
Rh  0.416  0.416  0.917
Rh  0.416  0.917  0.416
Rh  0.500  0.500  0.500
Rh  0.584  0.083  0.584
Rh  0.584  0.584  0.083
Rh  0.917  0.416  0.416

Results
The density of states at the Fermi level comes out at 13.4 states/eV/f.u. The calculation puts the formation energy from the elements at -0.5995 eV/atom. Its space group is No. 166.

Record 15
Below is an optimized crystal structure of La2Sm3N4, with properties calculated at the PBE level.

Cell lengths 6.303, 6.303, 9.056 Å; angles 117.52, 117.52, 33.36 degrees
Positions (direct):
La  0.104  0.104  0.383
La  0.896  0.896  0.617
Sm  0.290  0.290  0.181
Sm  0.500  0.500  0.000
Sm  0.710  0.710  0.819
N  0.106  0.106  0.908
N  0.305  0.305  0.705
N  0.695  0.695  0.295
N  0.894  0.894  0.092

Results
The formation energy from raw total energies comes out at -1.27 eV/atom. The density of states at the Fermi level comes out at 3.1 states/eV/f.u. Its space group is No. 12.

Record 16
Below is an optimized crystal structure of La2FeSb, with properties calculated at the PBE level.

Cell lengths 7.889, 7.889, 7.889 Å; angles 32.15, 32.15, 32.15 degrees
Positions (direct):
La  0.244  0.244  0.244
La  0.756  0.756  0.756
Fe  0.500  0.500  0.500
Sb  0.000  0.000  0.000

Results
The formation energy from raw total energies comes out at -0.18 eV/atom. The density of states at the Fermi level comes out at 6.6 states/eV/f.u. Its space group is No. 166.